[1]
Entry from Alexandria: a relaxed KNa12Cd3 crystal (GGA-PBE).

Cell: 5.0984 5.0984 20.4979 Å, 90.00 90.00 90.00°
Space group P4/mmm (No. 123)
Unique sites:
1 K 0.0000 0.0000 0.0000
2 Na 0.0000 0.5000 0.1534
3 Na 0.0000 0.5000 0.3832
4 Na 0.5000 0.5000 0.0000
5 Na 0.5000 0.5000 0.2678
6 Na 0.5000 0.5000 0.5000
7 Cd 0.0000 0.0000 0.2664
8 Cd 0.0000 0.0000 0.5000

**Crystal system**: tetragonal
**Formation energy from the elements**: -0.01 eV/atom

***

[2]
Entry from Alexandria: a relaxed PmPr3Er3Se8 crystal (GGA-PBE).

Cell: 8.2420 8.2420 20.4979 Å, 90.00 90.00 120.00°
Space group R-3m (No. 166, hexagonal axes)
Unique sites:
1 Pm 0.0000 0.0000 0.0000
2 Pr 0.0000 0.5000 0.5000
3 Er 0.0000 0.5000 0.0000
4 Se 0.0000 0.0000 0.2564
5 Se 0.0154 0.5077 0.2528

**Raw formation energy**: -1.842 eV/atom
**Crystal system**: trigonal

***

[3]
Entry from Alexandria: a relaxed NaW4Se8 crystal (GGA-PBE).

Cell: 6.6078 6.6078 24.7688 Å, 90.00 90.00 120.00°
Space group R-3m (No. 166, hexagonal axes)
Unique sites:
1 Na 0.0000 0.0000 0.0000
2 W 0.0000 0.0000 0.5000
3 W 0.0000 0.5000 0.5000
4 Se 0.0000 0.0000 0.2364
5 Se 0.0003 0.5001 0.2366

**Raw formation energy**: -0.352 eV/atom
**Crystal system**: trigonal

***

[4]
Entry from Alexandria: a relaxed Pm5Y4Er2 crystal (GGA-PBE).

Cell: 11.1628 7.2938 9.3751 Å, 90.00 107.57 90.00°
Space group C2/m (No. 12)
Unique sites:
1 Pm 0.0000 0.0000 0.0000
2 Pm 0.0658 0.2791 0.2697
3 Y 0.1660 0.5000 0.6187
4 Y 0.1962 0.5000 0.0031
5 Er 0.1461 0.0000 0.6160

**Crystal system**: monoclinic
**Distance to the lowest polymorph of the same formula**: 0.000 eV per atom
**Formation energy from the elements**: 0.11 eV/atom

***

[5]
Entry from Alexandria: a relaxed Zn5Ni crystal (GGA-PBE).

Cell: 6.9761 6.9761 6.9761 Å, 90.00 90.00 90.00°
Space group F-43m (No. 216)
Unique sites:
1 Zn 0.0000 0.0000 0.0000
2 Zn 0.1246 0.1246 0.6246
3 Ni 0.2500 0.2500 0.2500

**Crystal system**: cubic
**Formation energy from the elements**: 0.06 eV/atom

***

[6]
Entry from Alexandria: a relaxed Tm6TlTe2 crystal (GGA-PBE).

Cell: 5.4528 11.7391 15.7058 Å, 90.00 90.00 90.00°
Space group Fmmm (No. 69)
Unique sites:
1 Tm 0.0000 0.1530 0.1683
2 Tm 0.0000 0.1631 0.5000
3 Tl 0.0000 0.0000 0.0000
4 Te 0.0000 0.0000 0.3359

**Raw formation energy**: -0.508 eV/atom
**Crystal system**: orthorhombic

***

[7]
Entry from Alexandria: a relaxed PrGa4CoIr2 crystal (GGA-PBE).

Cell: 4.2316 4.2316 26.2279 Å, 90.00 90.00 120.00°
Space group R-3m (No. 166, hexagonal axes)
Unique sites:
1 Pr 0.0000 0.0000 0.0000
2 Ga 0.0000 0.0000 0.1338
3 Ga 0.0000 0.0000 0.4043
4 Co 0.0000 0.0000 0.5000
5 Ir 0.0000 0.0000 0.2323

**Crystal system**: trigonal
**Formation energy from the elements**: -0.52 eV/atom

***

[8]
Entry from Alexandria: a relaxed TcAsW2 crystal (GGA-PBE).

Cell: 3.7898 3.7898 18.6711 Å, 90.00 90.00 90.00°
Space group I-42d (No. 122)
Unique sites:
1 Tc 0.0000 0.0000 0.0000
2 As 0.0000 0.0000 0.5000
3 W 0.2373 0.2500 0.6250

**Crystal system**: tetragonal
**Formation energy from the elements**: 0.72 eV/atom

***

Number 1: electronic total energy -19.9 eV for the cell shown. Number 2: electronic total energy -264.8 eV for the cell shown. Number 3: electronic total energy -256.7 eV for the cell shown. Number 4: electronic total energy -115.0 eV for the cell shown. Number 5: electronic total energy -47.2 eV for the cell shown. Number 6: electronic total energy -160.2 eV for the cell shown. Number 7: electronic total energy -137.6 eV for the cell shown. Number 8: electronic total energy -152.1 eV for the cell shown.